Entry from the Alexandria database: a geometry-optimized Tm12Au3N5 structure (PBE). Values from VASP.

## Properties
formation energy from raw total energies = -1.0077 eV/atom
total magnetization = 0.00 Bohr magnetons per cell
density = 10.28 g cm⁻³

Geometry as Quantum ESPRESSO input:
```
&SYSTEM
  ibrav = 0, nat = 80, ntyp = 3
/
ATOMIC_SPECIES
Tm 168.93 Tm.upf
Au 196.97 Au.upf
N 14.01 N.upf
ATOMIC_POSITIONS crystal
Tm 0.018 0.202 0.115
Tm 0.018 0.316 0.902
Tm 0.087 0.702 0.684
Tm 0.087 0.885 0.402
Tm 0.098 0.615 0.413
Tm 0.098 0.982 0.684
Tm 0.115 0.018 0.202
Tm 0.115 0.598 0.913
Tm 0.184 0.202 0.587
Tm 0.184 0.482 0.598
Tm 0.202 0.115 0.018
Tm 0.202 0.587 0.184
Tm 0.298 0.316 0.913
Tm 0.298 0.482 0.385
Tm 0.316 0.902 0.018
Tm 0.316 0.913 0.298
Tm 0.385 0.298 0.482
Tm 0.385 0.587 0.902
Tm 0.402 0.087 0.885
Tm 0.402 0.816 0.518
Tm 0.413 0.098 0.615
Tm 0.413 0.816 0.798
Tm 0.482 0.385 0.298
Tm 0.482 0.598 0.184
Tm 0.518 0.402 0.816
Tm 0.518 0.615 0.702
Tm 0.587 0.184 0.202
Tm 0.587 0.902 0.385
Tm 0.598 0.184 0.482
Tm 0.598 0.913 0.115
Tm 0.615 0.413 0.098
Tm 0.615 0.702 0.518
Tm 0.684 0.087 0.702
Tm 0.684 0.098 0.982
Tm 0.702 0.518 0.615
Tm 0.702 0.684 0.087
Tm 0.798 0.413 0.816
Tm 0.798 0.885 0.982
Tm 0.816 0.518 0.402
Tm 0.816 0.798 0.413
Tm 0.885 0.402 0.087
Tm 0.885 0.982 0.798
Tm 0.902 0.018 0.316
Tm 0.902 0.385 0.587
Tm 0.913 0.115 0.598
Tm 0.913 0.298 0.316
Tm 0.982 0.684 0.098
Tm 0.982 0.798 0.885
Au 0.125 0.250 0.375
Au 0.125 0.375 0.750
Au 0.250 0.375 0.125
Au 0.250 0.875 0.625
Au 0.375 0.125 0.250
Au 0.375 0.750 0.125
Au 0.625 0.250 0.875
Au 0.625 0.875 0.750
Au 0.750 0.125 0.375
Au 0.750 0.625 0.875
Au 0.875 0.625 0.250
Au 0.875 0.750 0.625
N 0.000 0.000 0.000
N 0.000 0.000 0.500
N 0.000 0.500 0.000
N 0.000 0.500 0.500
N 0.125 0.750 0.875
N 0.125 0.875 0.250
N 0.250 0.125 0.875
N 0.250 0.625 0.375
N 0.375 0.250 0.625
N 0.375 0.625 0.750
N 0.500 0.000 0.000
N 0.500 0.000 0.500
N 0.500 0.500 0.000
N 0.500 0.500 0.500
N 0.625 0.375 0.250
N 0.625 0.750 0.375
N 0.750 0.375 0.625
N 0.750 0.875 0.125
N 0.875 0.125 0.750
N 0.875 0.250 0.125
CELL_PARAMETERS angstrom
-7.572 7.572 7.572
7.572 -7.572 7.572
7.572 7.572 -7.572
```